Cs2K2Bi | GGA-PBE | relaxed

The structure in POSCAR format:
```
Cs2K2Bi
1.0
8.5599 0.0000 0.0000
0.0000 10.8129 0.0000
0.0000 0.0000 7.0071
Cs K Bi
4 4 2
direct
0.2127 0.0955 0.0000
0.2873 0.5955 0.0000
0.7127 0.4045 0.0000
0.7873 0.9045 0.0000
0.1428 0.3208 0.5000
0.3572 0.8208 0.5000
0.6428 0.1792 0.5000
0.8572 0.6792 0.5000
0.0000 0.0000 0.5000
0.5000 0.5000 0.5000
```

## Properties
energy relative to the elements = -0.23 eV per atom
energy above the most stable polymorph in this dataset = 0 meV/atom
total magnetization = 0.93 Bohr magnetons per cell
symmetry = No. 55
E_tot = -1.782 eV/atom